# 1
Computed, not measured: a relaxed KAl2Sn2 crystal at the GGA-PBE level of DFT.

The structure belongs to space group P4/mbm (No. 127); the cell edges are 8.733, 8.733 and 3.422 Å and the angles 90.00°, 90.00° and 90.00°. The inequivalent atoms are K at (0.000, 0.000, 0.000), Al at (0.141, 0.359, 0.500) and Sn at (0.143, 0.643, 0.000).

As for the calculated density: 4.2 Mg/m³. As for the relative energy among the computed polymorphs: 162 meV/atom. The calculation puts the energy relative to the elements at 0.45 eV per formula unit.

# 2
Computed, not measured: a relaxed KAlSn crystal at the GGA-PBE level of DFT.

The structure belongs to space group P1 (No. 1); the cell edges are 4.619, 6.552 and 7.149 Å and the angles 93.44°, 107.34° and 109.05°. The inequivalent atoms are K at (0.000, 0.000, 0.000), K at (0.450, 0.572, 0.303), Al at (0.275, 0.989, 0.600), Al at (0.633, 0.377, 0.814), Sn at (0.194, 0.590, 0.734) and Sn at (0.787, 0.161, 0.447).

As for the calculated density: 3.2 Mg/m³. The calculation puts the energy relative to the elements at -0.23 eV per formula unit.

# 3
Computed, not measured: a relaxed KAlSn crystal at the GGA-PBE level of DFT.

The structure belongs to space group I4/mmm (No. 139); the cell edges are 12.516, 12.516 and 4.942 Å and the angles 90.00°, 90.00° and 90.00°. The inequivalent atoms are K at (0.000, 0.203, 0.000), Al at (0.219, 0.219, 0.500) and Sn at (0.000, 0.380, 0.500).

As for the calculated density: 3.2 Mg/m³. The calculation puts the energy relative to the elements at 0.49 eV per formula unit.

# 4
Computed, not measured: a relaxed KAlSn crystal at the GGA-PBE level of DFT.

The structure belongs to space group Pnma (No. 62); the cell edges are 7.009, 4.594 and 12.546 Å and the angles 90.00°, 90.00° and 90.00°. The inequivalent atoms are K at (0.119, 0.250, 0.132), Al at (0.024, 0.750, 0.332) and Sn at (0.136, 0.250, 0.449).

As for the calculated density: 3.0 Mg/m³. The calculation puts the energy relative to the elements at 0.29 eV per formula unit.

# 5
Computed, not measured: a relaxed KAlSn crystal at the GGA-PBE level of DFT.

The structure belongs to space group Pm (No. 6); the cell edges are 4.623, 4.658 and 8.783 Å and the angles 90.00°, 91.01° and 90.00°. The inequivalent atoms are K at (0.000, 0.000, 0.000), K at (0.488, 0.500, 0.697), Al at (0.490, 0.000, 0.337), Al at (0.508, 0.500, 0.143), Sn at (0.018, 0.500, 0.336) and Sn at (0.977, 0.000, 0.551).

As for the calculated density: 3.2 Mg/m³. The calculation puts the energy relative to the elements at -0.18 eV per formula unit.

# 6
Computed, not measured: a relaxed KAlSn crystal at the GGA-PBE level of DFT.

The structure belongs to space group Imm2 (No. 44); the cell edges are 4.955, 15.248 and 7.498 Å and the angles 90.00°, 90.00° and 90.00°. The inequivalent atoms are K at (0.000, 0.000, 0.000), K at (0.000, 0.373, 0.772), Al at (0.000, 0.000, 0.526), Al at (0.000, 0.311, 0.249), Sn at (0.000, 0.191, 0.544) and Sn at (0.000, 0.500, 0.205).

As for the calculated density: 3.3 Mg/m³. The calculation puts the energy relative to the elements at 0.11 eV per formula unit.

# 7
Computed, not measured: a relaxed KAlSn crystal at the GGA-PBE level of DFT.

The structure belongs to space group Cmcm (No. 63); the cell edges are 7.085, 9.427 and 6.404 Å and the angles 90.00°, 90.00° and 90.00°. The inequivalent atoms are K at (0.000, 0.125, 0.250), Al at (0.000, 0.500, 0.000) and Sn at (0.000, 0.276, 0.750).

As for the calculated density: 2.9 Mg/m³. The calculation puts the energy relative to the elements at 0.42 eV per formula unit.

# 8
Computed, not measured: a relaxed KAlSn crystal at the GGA-PBE level of DFT.

The structure belongs to space group C2/m (No. 12); the cell edges are 15.288, 4.345 and 6.132 Å and the angles 90.00°, 99.30° and 90.00°. The inequivalent atoms are K at (0.089, 0.000, 0.298), Al at (0.235, 0.000, 0.854) and Sn at (0.123, 0.500, 0.792).

As for the calculated density: 3.1 Mg/m³. The calculation puts the energy relative to the elements at -0.15 eV per formula unit.